The following is a DFT calculation (PBE-GGA) of a relaxed structure of AgAsSe3.

Geometry as CIF:
```
data_AgAsSe3
_chemical_formula_sum 'Ag1 As1 Se3'
_cell_length_a 5.0597
_cell_length_b 5.0597
_cell_length_c 5.0597
_cell_angle_alpha 90.00
_cell_angle_beta 90.00
_cell_angle_gamma 90.00
_symmetry_space_group_name_H-M 'P 1'
_symmetry_Int_Tables_number 1
_symmetry_space_group_name_Hall 'P 1'
loop_
_atom_site_label
_atom_site_fract_x
_atom_site_fract_y
_atom_site_fract_z
Ag1 0.0000 0.0000 0.0000
As1 0.5000 0.5000 0.5000
Se1 0.0000 0.5000 0.5000
Se2 0.5000 0.0000 0.5000
Se3 0.5000 0.5000 0.0000
```

Symmetry: No. 221
E_form (uncorrected), eV/atom: 0.503